(1)
DFT (PBE) results for PuScMn2 after structural relaxation.

Computed properties:
The value obtained for the formation energy is 15 meV per atom.

Lattice parameters (Å, degrees): 4.6417 4.6417 3.2627 90.00 90.00 90.00
With the nearest neighbours (Å) after each atom.
Element x y z (fractional)
Pu: 0.0000 0.0000 0.0000  8 Mn 2.84
Sc: 0.5000 0.5000 0.0000  8 Mn 2.84
Mn: 0.0000 0.5000 0.5000  4 Sc 2.84, 4 Pu 2.84
Mn: 0.5000 0.0000 0.5000  4 Sc 2.84, 4 Pu 2.84



(2)
DFT (PBE) results for PuScMnZn after structural relaxation.

Computed properties:
The value obtained for the formation energy is -15 meV per atom.

Lattice parameters (Å, degrees): 4.8068 4.8068 4.8068 60.00 60.00 60.00
With the nearest neighbours (Å) after each atom.
Element x y z (fractional)
Pu: 0.0000 0.0000 0.0000  4 Mn 2.94, 4 Zn 2.94
Sc: 0.5000 0.5000 0.5000  4 Mn 2.94, 4 Zn 2.94
Mn: 0.7500 0.7500 0.7500  4 Sc 2.94, 4 Pu 2.94
Zn: 0.2500 0.2500 0.2500  4 Sc 2.94, 4 Pu 2.94



Number 1: spin magnetization 0.206 Bohr magnetons per cell. Number 2: spin magnetization 2.733 Bohr magnetons per cell.